## YSiGe (PBE)

Data for YSiGe after structural relaxation.

abc: 3.8324 4.0127 8.3988
angles: 103.82 90.00 90.00
Last column: nearest neighbours and their distance in Å.
Atoms (fractional coordinates):
Y  0.2500  0.1029  0.2058  6 Si 2.94-3.13, 4 Ge 3.07-3.13
Y  0.7500  0.8971  0.7942  6 Si 2.94-3.13, 4 Ge 3.07-3.13
Si  0.2500  0.4558  0.9117  2 Si 2.40
Si  0.7500  0.5442  0.0883  2 Si 2.40
Ge  0.2500  0.7456  0.4911  4 Ge 2.78, 2 Y 3.07
Ge  0.7500  0.2544  0.5089  4 Ge 2.78, 2 Y 3.07

Output
Uncorrected formation energy   -0.5879 eV/atom
Excess energy over the best structure of this formula in the dataset   0.0 kJ/mol of formula units
Space-group type   Cmcm, No. 63

## FeCu2Pt (PBE)

Data for FeCu2Pt after structural relaxation.

abc: 4.2103 4.2103 4.2103
angles: 60.00 60.00 60.00
Last column: nearest neighbours and their distance in Å.
Atoms (fractional coordinates):
Cu  0.0000  0.0000  0.0000  4 Cu 2.58, 4 Pt 2.58
Cu  0.2500  0.2500  0.2500  4 Fe 2.58, 4 Cu 2.58
Fe  0.5000  0.5000  0.5000  4 Pt 2.58, 4 Cu 2.58
Pt  0.7500  0.7500  0.7500  4 Cu 2.58, 4 Fe 2.58

Output
E   -5.7054 eV per atom
Space-group type   F-43m, No. 216

## Th3ScSb4 (PBE)

Data for Th3ScSb4 after structural relaxation.

abc: 4.4388 7.6807 7.6807
angles: 109.45 90.00 90.00
Last column: nearest neighbours and their distance in Å.
Atoms (fractional coordinates):
Th  0.0000  0.0000  0.5000  6 Sb 3.14
Th  0.5000  0.5000  0.5000  6 Sb 3.24
Th  0.0000  0.5000  0.0000  6 Sb 3.14
Sc  0.5000  0.0000  0.0000  6 Sb 3.03-3.04
Sb  0.0000  0.2347  0.2347  2 Sc 3.04, 4 Th 3.14-3.24
Sb  0.5000  0.7584  0.2416  1 Sc 3.03, 5 Th 3.14-3.24
Sb  0.0000  0.7653  0.7653  2 Sc 3.04, 4 Th 3.14-3.24
Sb  0.5000  0.2416  0.7584  1 Sc 3.03, 5 Th 3.14-3.24

Output
Uncorrected formation energy   -0.8891 eV/atom
Excess energy over the best structure of this formula in the dataset   3.4 kJ/mol of formula units
Space-group type   Cmmm, No. 65

Number 1: size of the total moment 0.00 μB/f.u.. Number 2: size of the total moment 3.36 μB/f.u.. Number 3: size of the total moment 0.00 μB/f.u..